## Pm3Pr4Nd2 (PBE)

Data for a geometry-optimized Pm3Pr4Nd2 structure. Values from VASP.

Geometry as Quantum ESPRESSO input:
```
&SYSTEM
  ibrav = 0, nat = 9, ntyp = 3
/
ATOMIC_SPECIES
Pm 145.00 Pm.upf
Pr 140.91 Pr.upf
Nd 144.24 Nd.upf
CELL_PARAMETERS angstrom
6.0892 -1.8576 0.0000
6.0892 1.8576 0.0000
-5.5208 0.0000 14.1153
ATOMIC_POSITIONS angstrom
Pm 0.0000 0.0000 0.0000
Pm 1.1190 0.0000 10.9946
Pm 5.5386 0.0000 3.1207
Pr -1.0998 0.0000 6.2589
Pr -2.1942 0.0000 12.5490
Pr 8.8519 0.0000 1.5663
Pr 7.7575 0.0000 7.8565
Nd 2.2027 0.0000 4.6974
Nd 4.4549 0.0000 9.4180
```

Results
Excess energy over the best structure of this formula in the dataset, eV/atom: 0.0000
Total magnetization, μB per formula unit: 0.00
DFT formation energy, eV/f.u.: 0.21
Crystal system: monoclinic
Theoretical density, kg/m³: 6693
Fermi-level density of states, states/eV/f.u.: 15.89